Material: Zr6Pt7
Method: DFT, PBE-GGA
State: optimized geometry

abc: 10.0948 10.0948 10.0948
angles: 30.93 30.93 30.93
Closest atoms and distances in Å follow each position.
Sites, in units of the cell vectors:
Zr 0.9499 0.9499 0.9499  2 Zr 2.89-3.17, 6 Pt 2.90
Zr 0.0501 0.0501 0.0501  2 Zr 2.89-3.17, 6 Pt 2.90
Zr 0.8397 0.8397 0.8397  6 Pt 2.92-3.11, 4 Zr 3.13-3.17
Zr 0.1603 0.1603 0.1603  6 Pt 2.92-3.11, 4 Zr 3.13-3.17
Zr 0.6664 0.6664 0.6664  6 Pt 2.95-2.97, 3 Zr 3.11
Zr 0.3336 0.3336 0.3336  6 Pt 2.95-2.97, 3 Zr 3.11
Pt 0.9110 0.4136 0.4136  5 Pt 2.68-2.76, 5 Zr 2.90-2.97
Pt 0.4136 0.4136 0.9110  5 Pt 2.68-2.76, 5 Zr 2.90-2.97
Pt 0.4136 0.9110 0.4136  5 Pt 2.68-2.76, 5 Zr 2.90-2.97
Pt 0.0890 0.5864 0.5864  5 Pt 2.68-2.76, 5 Zr 2.90-2.97
Pt 0.5864 0.0890 0.5864  5 Pt 2.68-2.76, 5 Zr 2.90-2.97
Pt 0.5864 0.5864 0.0890  5 Pt 2.68-2.76, 5 Zr 2.90-2.97
Pt 0.5000 0.5000 0.5000  6 Pt 2.76

Computed properties:
Fermi-level density of states = 8.998 states/eV per cell
ΔE_f = -869 meV/atom
crystal system = trigonal
calculated total energy = -8.07 eV/atom